(1)
The following is a PBEsol calculation of LaCo2Ni after structural relaxation, from the Alexandria database.

Computed properties:
Energy relative to the elements: 0.30 eV/atom
Space-group type: I4/mmm, No. 139
Size of the total moment: 1.38 μB per formula unit

Structure (extended XYZ):
```
4
Lattice="3.9332 0.0000 0.0000 0.0000 3.9314 0.0000 -1.9666 -1.9657 3.6521" Properties=species:S:1:pos:R:3 pbc="T T T"
Ni 0.0000 1.9657 0.0000
Co 1.9666 1.9657 1.8254
Co 0.0000 0.0000 1.8267
La 1.9666 0.0000 0.0000
```


(2)
The following is a PBEsol calculation of LaCo3Ni2 after structural relaxation, from the Alexandria database.

Computed properties:
Energy relative to the elements: -0.09 eV/atom
Space-group type: P6/mmm, No. 191
Size of the total moment: 4.59 μB per formula unit

Structure (extended XYZ):
```
6
Lattice="-3.0923 -0.3915 -2.4860 2.7860 -2.5998 -3.0560 -2.5370 -2.2572 3.5111" Properties=species:S:1:pos:R:3 pbc="T T T"
Ni 1.0117 -2.4856 -0.8669
Ni -0.7627 -2.3714 1.3221
Co -2.8146 -1.3244 0.5125
Co -0.1532 -1.4956 -2.7710
Co -1.4216 -2.6242 -1.0154
La 0.0000 0.0000 0.0000
```


(3)
The following is a PBEsol calculation of LaCo2Ni after structural relaxation, from the Alexandria database.

Computed properties:
Energy relative to the elements: -0.07 eV/atom
Space-group type: R-3m, No. 166
Size of the total moment: 1.76 μB per formula unit

Structure (extended XYZ):
```
4
Lattice="-2.2670 -2.1740 2.5561 -0.1692 -4.0292 -0.3691 2.8718 -2.4890 3.6380" Properties=species:S:1:pos:R:3 pbc="T T T"
Ni 0.2178 -4.3461 2.9125
Co -0.4232 -6.4334 3.7766
Co 0.8588 -2.2588 2.0484
La 0.0000 0.0000 0.0000
```


(4)
The following is a PBEsol calculation of LaCoNi after structural relaxation, from the Alexandria database.

Computed properties:
Energy relative to the elements: -0.13 eV/atom
Space-group type: P-6m2, No. 187
Size of the total moment: 0.03 μB per formula unit

Structure (extended XYZ):
```
3
Lattice="4.0024 0.0000 0.0000 0.0000 3.9493 0.0000 0.0000 -1.9746 3.4202" Properties=species:S:1:pos:R:3 pbc="T T T"
Ni 2.0012 1.9746 1.1401
Co 2.0012 0.0000 0.0000
La 0.0000 0.0000 2.2801
```


(5)
The following is a PBEsol calculation of LaCo2Ni3 after structural relaxation, from the Alexandria database.

Computed properties:
Energy relative to the elements: -0.12 eV/atom
Space-group type: P6/mmm, No. 191
Size of the total moment: 3.64 μB per formula unit

Structure (extended XYZ):
```
6
Lattice="-1.6740 -2.8797 2.1307 -1.7207 -2.0298 -4.0951 4.3904 -1.2895 1.7065" Properties=species:S:1:pos:R:3 pbc="T T T"
Ni 1.3582 -2.0846 1.9186
Ni -1.6973 -2.4548 -0.9822
Ni 0.4979 -3.0995 -0.1289
Co 2.3534 -1.5363 -0.2274
Co 0.3164 -1.7830 -2.1612
La 0.0000 0.0000 0.0000
```


(6)
The following is a PBEsol calculation of La2CoNiRu after structural relaxation, from the Alexandria database.

Computed properties:
Energy relative to the elements: 0.57 eV/atom
Space-group type: P4/mmm, No. 123
Size of the total moment: 1.94 μB per formula unit

Structure (extended XYZ):
```
5
Lattice="-2.8761 -1.6478 2.4904 -2.2687 -2.2454 -4.1057 2.9805 -4.2109 0.6559" Properties=species:S:1:pos:R:3 pbc="T T T"
Ru -1.0822 -4.0521 -0.4797
Co -1.4381 -0.8239 1.2452
Ni 0.0000 0.0000 0.0000
La 1.4903 -2.1055 0.3280
La -1.1344 -1.1227 -2.0529
```


(7)
The following is a PBEsol calculation of LaCoSbPbO6 after structural relaxation, from the Alexandria database.

Computed properties:
Formation energy (no corrections): -1.7453 eV per atom
Space-group type: Pc, No. 7
Size of the total moment: 3.00 μB per formula unit

Structure (extended XYZ):
```
20
Lattice="-3.7981 4.1211 0.6198 -4.1245 -3.8690 0.4513 1.0341 -0.1834 7.8790" Properties=species:S:1:pos:R:3 pbc="T T T"
La -2.0171 1.1675 6.3337
La -3.0524 -3.0690 2.3488
Co -0.5456 -1.0826 4.0708
Co -4.9649 -0.8096 0.6604
Sb -0.0246 -1.1719 7.9912
Sb -4.4527 -0.9071 4.5818
Pb -2.7281 0.9533 2.4102
Pb -6.0171 1.1332 6.8682
O -5.0363 -0.5055 2.6962
O -0.6076 -0.7698 6.1056
O -4.0662 -1.3335 6.5071
O -4.2333 2.9284 2.6314
O -2.5820 -1.3070 3.9639
O -3.6044 0.9992 8.1739
O -6.3746 -0.6515 5.1382
O -1.1380 0.9955 0.4670
O -0.6838 0.9944 3.8202
O -6.0117 -0.7382 8.5013
O -3.9928 1.0153 4.9118
O -2.9531 -1.2746 0.6999
```


(8)
The following is a PBEsol calculation of La2CoRuO6 after structural relaxation, from the Alexandria database.

Computed properties:
Formation energy (no corrections): -2.2391 eV per atom
Space-group type: P2_1/c, No. 14
Size of the total moment: 1.06 μB per formula unit

Structure (extended XYZ):
```
20
Lattice="-1.8010 3.3367 3.8541 -5.2381 -1.6074 -1.0561 0.6822 -5.6350 5.1927" Properties=species:S:1:pos:R:3 pbc="T T T"
La -3.6283 -1.6494 7.2242
La -2.7286 -2.2563 0.7664
La -5.3883 -4.0500 4.8663
La -0.9686 0.1443 3.1243
Co -3.5196 0.8646 1.3990
Co 0.3411 -2.8175 2.5963
Ru 0.0000 0.0000 0.0000
Ru -3.1784 -1.9529 3.9953
O -1.7188 -3.4057 7.4431
O -4.6380 -0.5000 0.5475
O -4.8047 -1.5286 5.1500
O -1.5522 -2.3771 2.8406
O -4.4421 -3.8860 7.2916
O -1.9148 -0.0198 0.6990
O -1.9563 -1.0100 5.3268
O -4.4005 -2.8957 2.6638
O 0.2687 -3.9577 4.1552
O -6.6256 0.0520 3.8354
O -2.9552 -3.6886 4.9944
O -3.4016 -0.2172 2.9962
```


> Among the records above, which one has the highest size of the total moment?

LaCo3Ni2


Copy entry 7 word for word.
The following is a PBEsol calculation of LaCoSbPbO6 after structural relaxation, from the Alexandria database.

Computed properties:
Formation energy (no corrections): -1.7453 eV per atom
Space-group type: Pc, No. 7
Size of the total moment: 3.00 μB per formula unit

Structure (extended XYZ):
```
20
Lattice="-3.7981 4.1211 0.6198 -4.1245 -3.8690 0.4513 1.0341 -0.1834 7.8790" Properties=species:S:1:pos:R:3 pbc="T T T"
La -2.0171 1.1675 6.3337
La -3.0524 -3.0690 2.3488
Co -0.5456 -1.0826 4.0708
Co -4.9649 -0.8096 0.6604
Sb -0.0246 -1.1719 7.9912
Sb -4.4527 -0.9071 4.5818
Pb -2.7281 0.9533 2.4102
Pb -6.0171 1.1332 6.8682
O -5.0363 -0.5055 2.6962
O -0.6076 -0.7698 6.1056
O -4.0662 -1.3335 6.5071
O -4.2333 2.9284 2.6314
O -2.5820 -1.3070 3.9639
O -3.6044 0.9992 8.1739
O -6.3746 -0.6515 5.1382
O -1.1380 0.9955 0.4670
O -0.6838 0.9944 3.8202
O -6.0117 -0.7382 8.5013
O -3.9928 1.0153 4.9118
O -2.9531 -1.2746 0.6999
```